Density functional theory data (PBE with a Hubbard U) for a geometry-optimized FeP2RhO structure.

Cell: 4.7860 4.7860 3.6729 Å, 90.00 90.00 90.00°
Fractional positions:
1 P 0.0000 0.5000 0.0000
2 P 0.5000 0.0000 0.0000
3 Rh 0.0000 0.0000 0.0000
4 Fe 0.5000 0.5000 0.5000
5 O 0.0000 0.0000 0.5000

Output
Crystal system: tetragonal
Energy (eV/atom): -5.21
Symmetry: P4/mmm